## BiB3Rh6 (PBE)

Data for a relaxed structure of BiB3Rh6.

Summary:
space-group type	No. 146
theoretical density	10.41	g/cm3
calculated formation energy	-0.153	eV per atom
total energy	-6.955	eV per atom

a b c (Å): 5.534 5.534 6.074
angles (deg): 90.00 117.10 120.00
Fractional coordinates of all 10 atoms:
Rh1 0.822 0.082 0.227
Rh2 0.823 0.380 0.735
Rh3 0.487 0.405 0.227
Rh4 0.291 0.912 0.735
Rh5 0.355 0.443 0.735
Rh6 0.145 0.740 0.227
B1 0.285 0.142 0.427
B2 0.353 0.676 0.029
B3 0.678 0.339 0.017
Bi1 0.761 0.881 0.642


## Li5Mg3 (PBE)

Data for a relaxed structure of Li5Mg3.

Summary:
space-group type	No. 65
theoretical density	1.11	g/cm3
calculated formation energy	-0.045	eV per atom
total energy	-1.839	eV per atom

a b c (Å): 5.916 5.916 9.692
angles (deg): 90.00 90.00 108.12
Fractional coordinates of all 16 atoms:
Li1 0.999 0.500 0.750
Li2 0.001 0.001 0.250
Li3 0.240 0.240 0.000
Li4 0.001 0.500 0.250
Li5 0.500 0.001 0.250
Li6 0.999 0.999 0.750
Li7 0.500 0.999 0.750
Li8 0.240 0.240 0.500
Li9 0.760 0.760 0.000
Li10 0.760 0.760 0.500
Mg1 0.743 0.257 0.000
Mg2 0.257 0.743 0.500
Mg3 0.743 0.257 0.500
Mg4 0.500 0.500 0.250
Mg5 0.257 0.743 0.000
Mg6 0.500 0.500 0.750


## SbAsSN2 (PBE)

Data for a relaxed structure of SbAsSN2.

Summary:
space-group type	No. 123
theoretical density	5.83	g/cm3
total energy	-4.787	eV per atom

a b c (Å): 3.888 3.888 4.834
angles (deg): 90.00 90.00 90.00
Fractional coordinates of all 5 atoms:
S1 0.000 0.000 0.500
N1 0.500 0.000 0.000
N2 0.000 0.500 0.000
As1 0.000 0.000 0.000
Sb1 0.500 0.500 0.500


## PmYSc2Tl4 (PBE)

Data for a relaxed structure of PmYSc2Tl4.

Summary:
space-group type	No. 166
theoretical density	9.13	g/cm3
calculated formation energy	-0.306	eV per atom
total energy	-4.474	eV per atom

a b c (Å): 5.272 5.272 9.148
angles (deg): 73.25 73.25 60.00
Fractional coordinates of all 8 atoms:
Tl1 0.376 0.376 0.871
Tl2 0.874 0.874 0.378
Tl3 0.624 0.624 0.129
Tl4 0.126 0.126 0.622
Sc1 0.750 0.750 0.749
Sc2 0.250 0.250 0.251
Y1 0.500 0.500 0.500
Pm1 0.000 0.000 0.000


## Nd4Tm3PuSe8 (PBE)

Data for a relaxed structure of Nd4Tm3PuSe8.

Summary:
space-group type	No. 166
theoretical density	8.10	g/cm3
total energy	-6.415	eV per atom

a b c (Å): 8.220 8.344 8.220
angles (deg): 119.50 120.00 90.00
Each line ends with the local moment (μB).
Fractional coordinates of all 16 atoms:
Se1 0.247 0.734 0.987  -0.02
Se2 0.257 0.270 0.513  0.00
Se3 0.743 0.730 0.487  0.00
Se4 0.740 0.734 0.987  -0.02
Se5 0.247 0.734 0.494  -0.02
Se6 0.753 0.266 0.506  -0.02
Se7 0.260 0.266 0.013  -0.02
Se8 0.753 0.266 0.013  -0.02
Tm1 0.500 0.500 0.000  0.04
Tm2 0.500 0.500 0.500  0.04
Tm3 0.000 0.500 0.500  0.04
Nd1 0.000 0.000 0.500  0.01
Nd2 0.500 0.000 0.000  -0.06
Nd3 0.000 0.000 0.000  0.01
Nd4 0.500 0.000 0.500  0.01
Pu1 0.000 0.500 0.000  5.41


## FeAs2Ir (PBE)

Data for a relaxed structure of FeAs2Ir.

Summary:
space-group type	No. 166
theoretical density	11.46	g/cm3
calculated formation energy	0.100	eV per atom
total energy	-6.556	eV per atom

a b c (Å): 7.802 7.802 7.802
angles (deg): 21.85 21.85 21.85
Each line ends with the local moment (μB).
Fractional coordinates of all 4 atoms:
As1 0.994 0.994 0.994  -0.04
As2 0.506 0.506 0.506  -0.04
Fe1 0.250 0.250 0.250  1.28
Ir1 0.750 0.750 0.750  -0.09


## Li4Ca3Pb4 (PBE)

Data for a relaxed structure of Li4Ca3Pb4.

Summary:
space-group type	No. 71
theoretical density	5.73	g/cm3
calculated formation energy	-0.393	eV per atom
total energy	-2.984	eV per atom

a b c (Å): 4.803 7.535 9.010
angles (deg): 114.72 105.46 90.00
Fractional coordinates of all 11 atoms:
Li1 0.676 0.486 0.352
Li2 0.324 0.134 0.648
Li3 0.324 0.514 0.648
Li4 0.676 0.866 0.352
Pb1 0.213 0.713 0.426
Pb2 0.500 0.200 0.000
Pb3 0.787 0.287 0.574
Pb4 0.500 0.800 0.000
Ca1 0.000 0.500 0.000
Ca2 0.872 0.872 0.744
Ca3 0.128 0.128 0.256


## CaSbP2 (PBE)

Data for a relaxed structure of CaSbP2.

Summary:
space-group type	No. 123
theoretical density	4.45	g/cm3
total energy	-4.440	eV per atom

a b c (Å): 3.700 4.749 4.749
angles (deg): 90.00 90.00 90.00
Fractional coordinates of all 4 atoms:
Ca1 0.500 0.000 0.500
P1 0.000 0.000 0.000
P2 0.000 0.500 0.500
Sb1 0.500 0.500 0.000


## AcPm8Ho4 (PBE)

Data for a relaxed structure of AcPm8Ho4.

Summary:
space-group type	No. 166
theoretical density	7.49	g/cm3
calculated formation energy	0.240	eV per atom
total energy	-4.408	eV per atom

a b c (Å): 7.378 7.378 10.529
angles (deg): 90.00 110.51 120.00
Fractional coordinates of all 13 atoms:
Ho1 0.500 0.000 0.000
Ho2 0.000 0.500 0.000
Ho3 0.500 0.500 0.000
Ho4 0.000 0.000 0.000
Pm1 0.043 0.800 0.286
Pm2 0.428 0.214 0.641
Pm3 0.486 0.243 0.286
Pm4 0.043 0.243 0.286
Pm5 0.957 0.757 0.714
Pm6 0.957 0.200 0.714
Pm7 0.514 0.757 0.714
Pm8 0.572 0.786 0.359
Ac1 0.000 0.500 0.500


## Dy2Er3Pd2 (PBE)

Data for a relaxed structure of Dy2Er3Pd2.

Summary:
space-group type	No. 2
theoretical density	9.21	g/cm3
calculated formation energy	-0.405	eV per atom
total energy	-5.159	eV per atom

a b c (Å): 3.688 10.015 6.553
angles (deg): 55.45 73.73 89.97
Fractional coordinates of all 7 atoms:
Er1 0.000 0.000 0.000
Er2 0.843 0.287 0.313
Er3 0.157 0.713 0.687
Dy1 0.613 0.375 0.774
Dy2 0.387 0.625 0.226
Pd1 0.360 0.072 0.280
Pd2 0.640 0.928 0.720


## CrSb3 (PBE)

Data for a relaxed structure of CrSb3.

Summary:
space-group type	No. 225
theoretical density	6.98	g/cm3
total energy	-5.034	eV per atom

a b c (Å): 5.197 5.197 5.197
angles (deg): 60.00 60.00 60.00
Each line ends with the local moment (μB).
Fractional coordinates of all 4 atoms:
Sb1 0.750 0.750 0.750  -0.07
Sb2 0.250 0.250 0.250  -0.07
Sb3 0.500 0.500 0.500  0.05
Cr1 0.000 0.000 0.000  3.77


## ZnFe2Rh (PBE)

Data for a relaxed structure of ZnFe2Rh.

Summary:
space-group type	No. 65
theoretical density	8.95	g/cm3
calculated formation energy	-0.040	eV per atom
total energy	-6.428	eV per atom

a b c (Å): 4.586 5.811 2.653
angles (deg): 62.86 89.98 120.10
Each line ends with the local moment (μB).
Fractional coordinates of all 4 atoms:
Rh1 0.500 0.500 0.000  0.40
Fe1 0.000 0.500 0.500  2.62
Fe2 0.000 0.000 0.000  2.62
Zn1 0.500 0.000 0.500  -0.07